# Mn3CrCl2F6, relaxed, DFT PBE+U
# Mass density, g/cm³: 3.40
# Magnetization, Bohr magnetons per cell: 19.00
# SG: C2/m
# Total energy, eV for the cell shown: -71.75
data_Mn3CrCl2F6
_symmetry_space_group_name_H-M 'P 1'
_symmetry_Int_Tables_number 1
_symmetry_space_group_name_Hall 'P 1'
_cell_length_a 5.177
_cell_length_b 6.611
_cell_length_c 6.683
_cell_angle_alpha 119.64
_cell_angle_beta 81.67
_cell_angle_gamma 90.00
loop_
_atom_site_label
_atom_site_type_symbol
_atom_site_fract_x
_atom_site_fract_y
_atom_site_fract_z
F1 F 0.722 0.335 0.146
F2 F 0.722 0.812 0.146
F3 F 0.337 0.169 0.338
Cl1 Cl 0.187 0.689 0.378
Mn1 Mn 0.000 0.500 0.000
F4 F 0.663 0.831 0.662
Mn2 Mn 0.500 0.500 0.500
F5 F 0.278 0.665 0.854
Cr1 Cr 0.500 0.000 0.000
F6 F 0.278 0.188 0.854
Cl2 Cl 0.813 0.311 0.622
Mn3 Mn 0.500 0.000 0.500